Record 1
KICl: optimized geometry, PBE.

The uncorrected formation energy is -1.275 eV/atom. The crystal system is monoclinic. The density of states at the Fermi level is 0.00 states/eV/cell.

The space group is C2/m (No. 12) and the conventional cell measures 22.931, 4.526 and 4.554 Å, with angles of 90.00, 91.20 and 90.00 degrees. The asymmetric unit holds K at (0.174, 0.000, 0.243), I at (0.057, 0.500, 0.905) and Cl at (0.187, 0.500, 0.737).

Record 2
Hf2AgIr2: optimized geometry, PBE.

For the formation energy from the elements, the calculation gives -665 meV per atom. The crystal system is tetragonal. The density of states at the Fermi level is 6.88 states/eV/cell.

The space group is P4/mbm (No. 127) and the conventional cell measures 7.708, 7.708 and 3.111 Å, with angles of 90.00, 90.00 and 90.00 degrees. The asymmetric unit holds Hf at (0.158, 0.342, 0.000), Ag at (0.000, 0.000, 0.500) and Ir at (0.138, 0.638, 0.500).

Record 3
CaPmNdEr: optimized geometry, PBE.

For the formation energy from the elements, the calculation gives 121 meV per atom. The crystal system is cubic. The density of states at the Fermi level is 25.56 states/eV/cell.

The space group is F-43m (No. 216) and the conventional cell measures 8.234, 8.234 and 8.234 Å, with angles of 90.00, 90.00 and 90.00 degrees. The asymmetric unit holds Ca at (0.000, 0.000, 0.000), Pm at (0.250, 0.250, 0.250), Nd at (0.250, 0.250, 0.750) and Er at (0.000, 0.000, 0.500).

Record 4
HgAsPd2: optimized geometry, PBE.

For the formation energy from the elements, the calculation gives -44 meV per atom. The crystal system is tetragonal. The density of states at the Fermi level is 11.53 states/eV/cell.

The space group is I-42d (No. 122) and the conventional cell measures 7.256, 7.256 and 5.738 Å, with angles of 90.00, 90.00 and 90.00 degrees. The asymmetric unit holds Hg at (0.000, 0.000, 0.000), As at (0.000, 0.000, 0.500) and Pd at (0.208, 0.250, 0.625).

Record 5
La3Tc5N12: optimized geometry, PBE.

The uncorrected formation energy is -0.486 eV/atom. The crystal system is cubic. The density of states at the Fermi level is 76.13 states/eV/cell.

The space group is Ia-3d (No. 230) and the conventional cell measures 13.003, 13.003 and 13.003 Å, with angles of 90.00, 90.00 and 90.00 degrees. The asymmetric unit holds La at (0.000, 0.250, 0.125), Tc at (0.000, 0.000, 0.000), Tc at (0.000, 0.250, 0.375) and N at (0.035, 0.043, 0.648).

Record 6
LaHfPCl2: optimized geometry, PBE.

The uncorrected formation energy is -1.060 eV/atom. The crystal system is tetragonal. The density of states at the Fermi level is 3.50 states/eV/cell.

The space group is P4/mmm (No. 123) and the conventional cell measures 4.833, 4.833 and 5.148 Å, with angles of 90.00, 90.00 and 90.00 degrees. The asymmetric unit holds La at (0.000, 0.000, 0.000), Hf at (0.500, 0.500, 0.500), P at (0.500, 0.500, 0.000) and Cl at (0.000, 0.500, 0.500).

Record 7
Tl5Sn2Bi: optimized geometry, PBE.

For the formation energy from the elements, the calculation gives 10 meV per atom. The crystal system is tetragonal. The density of states at the Fermi level is 6.11 states/eV/cell.

The space group is I4/mmm (No. 139) and the conventional cell measures 4.931, 4.931 and 19.894 Å, with angles of 90.00, 90.00 and 90.00 degrees. The asymmetric unit holds Tl at (0.000, 0.000, 0.000), Tl at (0.000, 0.500, 0.127), Sn at (0.000, 0.000, 0.248) and Bi at (0.000, 0.000, 0.500).

Record 8
PmCuAgRh: optimized geometry, PBE.

For the formation energy from the elements, the calculation gives -164 meV per atom. The crystal system is cubic. The density of states at the Fermi level is 6.74 states/eV/cell.

The space group is F-43m (No. 216) and the conventional cell measures 6.709, 6.709 and 6.709 Å, with angles of 90.00, 90.00 and 90.00 degrees. The asymmetric unit holds Pm at (0.000, 0.000, 0.000), Cu at (0.250, 0.250, 0.250), Ag at (0.000, 0.000, 0.500) and Rh at (0.250, 0.250, 0.750).

Record 9
HoSc2UP4: optimized geometry, PBE.

For the formation energy from the elements, the calculation gives -1388 meV per atom. The crystal system is monoclinic. The density of states at the Fermi level is 6.28 states/eV/cell.

The space group is P2/m (No. 10) and the conventional cell measures 6.651, 3.855 and 6.698 Å, with angles of 90.00, 109.35 and 90.00 degrees. The asymmetric unit holds Ho at (0.000, 0.000, 0.000), Sc at (0.500, 0.000, 0.500), Sc at (0.500, 0.500, 0.000), U at (0.000, 0.500, 0.500), P at (0.261, 0.000, 0.751) and P at (0.261, 0.500, 0.258).

Record 10
Re3Ir: optimized geometry, PBE.

For the formation energy from the elements, the calculation gives 437 meV per atom. The crystal system is cubic. The density of states at the Fermi level is 28.27 states/eV/cell.

The space group is Fm-3m (No. 225) and the conventional cell measures 6.234, 6.234 and 6.234 Å, with angles of 90.00, 90.00 and 90.00 degrees. The asymmetric unit holds Re at (0.000, 0.000, 0.000), Re at (0.250, 0.250, 0.250) and Ir at (0.000, 0.000, 0.500).

Record 11
HfPPdO2: optimized geometry, PBE.

The uncorrected formation energy is -0.324 eV/atom. The crystal system is tetragonal. The density of states at the Fermi level is 1.02 states/eV/cell.

The space group is P4/mmm (No. 123) and the conventional cell measures 3.955, 3.955 and 4.627 Å, with angles of 90.00, 90.00 and 90.00 degrees. The asymmetric unit holds Hf at (0.000, 0.000, 0.000), P at (0.500, 0.500, 0.000), Pd at (0.500, 0.500, 0.500) and O at (0.000, 0.500, 0.500).

Record 12
Dy2YLu: optimized geometry, PBE.

For the formation energy from the elements, the calculation gives 26 meV per atom. The crystal system is tetragonal. The density of states at the Fermi level is 5.48 states/eV/cell.

The space group is P4/mmm (No. 123) and the conventional cell measures 3.529, 3.529 and 9.988 Å, with angles of 90.00, 90.00 and 90.00 degrees. The asymmetric unit holds Dy at (0.000, 0.000, 0.246), Y at (0.500, 0.500, 0.500) and Lu at (0.500, 0.500, 0.000).